Record 1
# CaBe2AlBr SCAN single point on PBEsol structure
# Calculated density   1.55 Mg/m³
# Space-group type   No. 123
# Energy   -7.636 eV/atom
# Total magnetization   0.20 μB per formula unit
# ΔE_f (raw)   1480 meV per atom
data_CaBe2AlBr
_space_group_name_H-M_alt 'P 1'
_space_group_IT_number 1
_space_group_name_Hall 'P 1'
_cell_length_a 5.404
_cell_length_b 5.404
_cell_length_c 6.040
_cell_angle_alpha 90.00
_cell_angle_beta 90.00
_cell_angle_gamma 90.00
loop_
_atom_site_label
_atom_site_type_symbol
_atom_site_fract_x
_atom_site_fract_y
_atom_site_fract_z
Be1 Be 0.000 0.500 0.000
Be2 Be 0.500 0.000 0.000
Ca1 Ca 0.000 0.000 0.000
Al1 Al 0.000 0.000 0.500
Br1 Br 0.500 0.500 0.500

---

Record 2
# Na8BeAl4Si7Br2O24 SCAN single point on PBEsol structure
# Calculated density   2.42 Mg/m³
# Space-group type   No. 81
# Energy   -9.966 eV/atom
# Total magnetization   0.25 μB per formula unit
# ΔE_f (raw)   -2843 meV per atom
data_Na8BeAl4Si7Br2O24
_space_group_name_H-M_alt 'P 1'
_space_group_IT_number 1
_space_group_name_Hall 'P 1'
_cell_length_a 8.883
_cell_length_b 8.883
_cell_length_c 9.042
_cell_angle_alpha 90.00
_cell_angle_beta 90.00
_cell_angle_gamma 90.00
loop_
_atom_site_label
_atom_site_type_symbol
_atom_site_fract_x
_atom_site_fract_y
_atom_site_fract_z
Be1 Be 0.000 0.000 0.500
Na1 Na 0.188 0.318 0.044
Na2 Na 0.682 0.188 0.956
Na3 Na 0.318 0.812 0.956
Na4 Na 0.812 0.682 0.044
Na5 Na 0.827 0.706 0.457
Na6 Na 0.294 0.827 0.543
Na7 Na 0.706 0.173 0.543
Na8 Na 0.173 0.294 0.457
Al1 Al 0.750 0.492 0.750
Al2 Al 0.508 0.750 0.250
Al3 Al 0.492 0.250 0.250
Al4 Al 0.250 0.508 0.750
O1 O 0.356 0.450 0.901
O2 O 0.842 0.325 0.805
O3 O 0.158 0.675 0.805
O4 O 0.950 0.858 0.897
O5 O 0.644 0.550 0.901
O6 O 0.550 0.356 0.099
O7 O 0.142 0.950 0.103
O8 O 0.050 0.142 0.897
O9 O 0.858 0.050 0.103
O10 O 0.450 0.644 0.099
O11 O 0.675 0.842 0.195
O12 O 0.856 0.957 0.397
O13 O 0.360 0.872 0.289
O14 O 0.640 0.128 0.289
O15 O 0.325 0.158 0.195
O16 O 0.440 0.358 0.402
O17 O 0.144 0.043 0.397
O18 O 0.043 0.856 0.603
O19 O 0.642 0.440 0.598
O20 O 0.560 0.642 0.402
O21 O 0.957 0.144 0.603
O22 O 0.358 0.560 0.598
O23 O 0.128 0.360 0.711
O24 O 0.872 0.640 0.711
Si1 Si 0.000 0.000 0.000
Si2 Si 0.500 0.500 0.000
Si3 Si 0.759 0.994 0.253
Si4 Si 0.241 0.006 0.253
Si5 Si 0.500 0.500 0.500
Si6 Si 0.994 0.241 0.747
Si7 Si 0.006 0.759 0.747
Br1 Br 0.500 0.000 0.756
Br2 Br 0.000 0.500 0.244

---

Record 3
# Sc2BeAlBr SCAN single point on PBEsol structure
# Calculated density   3.36 Mg/m³
# Space-group type   No. 123
# Energy   -12.080 eV/atom
# Total magnetization   0.00 μB per formula unit
# ΔE_f (raw)   -72 meV per atom
data_Sc2BeAlBr
_space_group_name_H-M_alt 'P 1'
_space_group_IT_number 1
_space_group_name_Hall 'P 1'
_cell_length_a 4.157
_cell_length_b 4.947
_cell_length_c 4.947
_cell_angle_alpha 90.00
_cell_angle_beta 90.00
_cell_angle_gamma 90.00
loop_
_atom_site_label
_atom_site_type_symbol
_atom_site_fract_x
_atom_site_fract_y
_atom_site_fract_z
Sc1 Sc 0.000 0.000 0.500
Sc2 Sc 0.000 0.500 0.000
Be1 Be 0.000 0.000 0.000
Al1 Al 0.500 0.000 0.000
Br1 Br 0.500 0.500 0.500

---

Question: What is the calculated density in the first record?
Answer: 1.55 Mg/m³

---

Question: calculated density of number 1 (CaBe2AlBr)?
Answer: 1.55 Mg/m³

---

Question: Which value of ΔE_f (raw) does entry 2 give?
Answer: -2843 meV per atom

---

Question: Which value of ΔE_f (raw) does entry 2 give?
Answer: -2843 meV per atom